First-principles (GGA-PBE) data for crystalline NdYPaO6 at its relaxed geometry, as listed in Alexandria via LeMat-Bulk.

Lattice parameters (Å, degrees): 4.6849 5.9093 5.9093 120.00 90.00 90.00
Site moments in Bohr magnetons follow the coordinates.
Fractional positions:
Nd 0.5000 0.6667 0.3333  -0.01
Y 0.5000 0.0000 0.0000  -0.01
Pa 0.0000 0.3333 0.6667  -0.01
O 0.7473 0.6525 0.6776  0.10
O 0.7473 0.3224 0.9749  0.10
O 0.7473 0.0251 0.3475  0.10
O 0.2527 0.3224 0.3475  0.10
O 0.2527 0.6525 0.9749  0.10
O 0.2527 0.0251 0.6776  0.10

## Properties
Energy relative to the elements, uncorrected, eV per atom: -3.14
Final energy, eV per atom: -8.749

***

First-principles (GGA-PBE) data for crystalline NdPaZnO6 at its relaxed geometry, as listed in Alexandria via LeMat-Bulk.

Lattice parameters (Å, degrees): 4.9226 5.5077 5.5077 120.00 90.00 90.00
Fractional positions:
Nd 0.5000 0.6667 0.3333
Pa 0.0000 0.3333 0.6667
Zn 0.5000 0.0000 0.0000
O 0.7447 0.6672 0.7022
O 0.7447 0.2978 0.9650
O 0.7447 0.0350 0.3328
O 0.2553 0.2978 0.3328
O 0.2553 0.6672 0.9650
O 0.2553 0.0350 0.7022

## Properties
Energy relative to the elements, uncorrected, eV per atom: -2.34
Final energy, eV per atom: -7.376

***

First-principles (GGA-PBE) data for crystalline Nd2PbO at its relaxed geometry, as listed in Alexandria via LeMat-Bulk.

Lattice parameters (Å, degrees): 4.6557 7.0981 12.0648 90.00 90.00 90.00
Fractional positions:
Nd 0.7500 0.1575 0.4507
Nd 0.2500 0.8425 0.5493
Nd 0.7500 0.6575 0.0493
Nd 0.2500 0.3425 0.9507
Nd 0.7500 0.1072 0.7600
Nd 0.2500 0.3928 0.2600
Nd 0.7500 0.6072 0.7400
Nd 0.2500 0.8928 0.2400
Pb 0.7500 0.1390 0.1297
Pb 0.2500 0.8610 0.8703
Pb 0.7500 0.6390 0.3703
Pb 0.2500 0.3610 0.6297
O 0.2500 0.5851 0.1019
O 0.2500 0.0851 0.3981
O 0.7500 0.4149 0.8981
O 0.7500 0.9149 0.6019

## Properties
Energy relative to the elements, uncorrected, eV per atom: -1.65
Final energy, eV per atom: -6.204
E above lowest polymorph, meV per atom: 86

***

First-principles (GGA-PBE) data for crystalline Nd3PbO at its relaxed geometry, as listed in Alexandria via LeMat-Bulk.

Lattice parameters (Å, degrees): 3.7893 8.5198 8.5197 72.10 90.00 90.00
Fractional positions:
Nd 0.8632 0.3555 0.8173
Nd 0.8632 0.0328 0.6755
Nd 0.8632 0.6233 0.0851
Nd 0.3632 0.9894 0.0417
Nd 0.8632 0.7650 0.4078
Nd 0.3632 0.3989 0.4511
Pb 0.3632 0.6941 0.7465
Pb 0.8632 0.1942 0.2464
O 0.3632 0.6942 0.2464
O 0.3632 0.1942 0.7464

## Properties
Energy relative to the elements, uncorrected, eV per atom: -1.31
Final energy, eV per atom: -5.902